No. 1
Compound: Be17FeW
Source: Alexandria
Functional: GGA-PBE
Structure: optimized geometry

E_tot, eV per atom: -4.553
Symmetry: R3m

abc: 5.449 5.449 5.449
angles: 82.90 82.90 82.90
Fractional coordinates of all 19 atoms:
Be  0.053  0.053  0.053
Be  0.144  0.144  0.656
Be  0.144  0.656  0.144
Be  0.158  0.453  0.844
Be  0.158  0.844  0.453
Be  0.256  0.256  0.256
Be  0.320  0.800  0.800
Be  0.453  0.158  0.844
Be  0.453  0.844  0.158
Be  0.501  0.501  0.999
Be  0.501  0.999  0.501
Be  0.656  0.144  0.144
Be  0.800  0.320  0.800
Be  0.800  0.800  0.320
Be  0.844  0.158  0.453
Be  0.844  0.453  0.158
Be  0.999  0.501  0.501
Fe  0.490  0.490  0.490
W  0.813  0.813  0.813

No. 2
Compound: Sc4AgPd2Au
Source: Alexandria
Functional: GGA-PBE
Structure: optimized geometry

E_tot, eV per atom: -5.940
Symmetry: R-3m

abc: 8.261 8.261 8.261
angles: 33.44 33.44 33.44
Fractional coordinates of all 8 atoms:
Sc  0.124  0.124  0.124
Sc  0.374  0.374  0.374
Sc  0.626  0.626  0.626
Sc  0.876  0.876  0.876
Ag  0.500  0.500  0.500
Pd  0.247  0.247  0.247
Pd  0.753  0.753  0.753
Au  0.000  0.000  0.000

No. 3
Compound: Nd12Sm5Y2
Source: Alexandria
Functional: GGA-PBE
Structure: optimized geometry

Energy above the most stable polymorph in this dataset, eV per formula unit: 0.00
Symmetry: C2/m

abc: 9.535 9.535 8.070
angles: 91.42 91.42 66.04
Fractional coordinates of all 19 atoms:
Nd  0.051  0.051  0.209
Nd  0.080  0.538  0.705
Nd  0.120  0.669  0.111
Nd  0.331  0.880  0.889
Nd  0.349  0.349  0.382
Nd  0.462  0.920  0.295
Nd  0.538  0.080  0.705
Nd  0.651  0.651  0.618
Nd  0.669  0.120  0.111
Nd  0.880  0.331  0.889
Nd  0.920  0.462  0.295
Nd  0.949  0.949  0.791
Sm  0.149  0.149  0.582
Sm  0.254  0.254  0.014
Sm  0.500  0.500  0.000
Sm  0.746  0.746  0.986
Sm  0.851  0.851  0.418
Y  0.259  0.741  0.500
Y  0.741  0.259  0.500

No. 4
Compound: Ge2IrCSe
Source: Alexandria
Functional: GGA-PBE
Structure: optimized geometry

Energy above the most stable polymorph in this dataset, eV per formula unit: 2.23
Symmetry: P4/mmm
Formation energy without anion corrections, meV per atom: 2186

abc: 5.229 5.229 4.516
angles: 90.00 90.00 90.00
Fractional coordinates of all 5 atoms:
Ge  0.000  0.500  0.000
Ge  0.500  0.000  0.000
Ir  0.000  0.000  0.500
C  0.500  0.500  0.500
Se  0.000  0.000  0.000